Entry 1:
The following is a DFT calculation (meta-GGA SCAN) of a crystal of BeCrP2O relaxed with PBEsol.

As for the energy relative to the elements, uncorrected: -178 meV per atom. As for the offset from the most stable computed form: 0.0000 eV per atom.

abc: 2.8822 4.6985 4.6985
angles: 90.00 90.00 90.00
Each line ends with the local moment (μB).
Atoms (fractional coordinates):
Cr1 0.5000 0.5000 0.5000  3.63
Be1 0.0000 0.0000 0.0000  0.01
O1 0.5000 0.0000 0.0000  0.03
P1 0.0000 0.0000 0.5000  -0.07
P2 0.0000 0.5000 0.0000  -0.07

---

Entry 2:
The following is a DFT calculation (meta-GGA SCAN) of a crystal of BeCrOs2 relaxed with PBEsol.

The energy of formation is -0.83 eV per formula unit.

abc: 2.8200 2.8200 5.8803
angles: 90.00 90.00 90.00
Each line ends with the local moment (μB).
Atoms (fractional coordinates):
Cr1 0.5000 0.5000 0.5000  0.66
Os1 0.0000 0.0000 0.7657  -0.06
Os2 0.0000 0.0000 0.2343  -0.06
Be1 0.5000 0.5000 0.0000  0.00

---

no.,spin magnetization (μB/cell)
1,3.764
2,0.557